*i*
{"formula": "Rb2BaCl", "functional": "PBE", "state": "relaxed", "cell": [[0.000, 5.028, 5.028], [5.028, 0.000, 5.028], [5.028, 5.028, 0.000]], "species": ["Ba", "Rb", "Rb", "Cl"], "fractional_positions": [[0.500, 0.500, 0.500], [0.750, 0.750, 0.750], [0.250, 0.250, 0.250], [0.000, 0.000, 0.000]], "volume_a3_per_atom": 63.56}

*ii*
{"formula": "Rb2BaCl", "functional": "PBE", "state": "relaxed", "cell": [[4.558, 0.000, 0.000], [2.279, 3.948, 0.000], [2.279, 1.316, 12.921]], "species": ["Cl", "Rb", "Rb", "Ba"], "fractional_positions": [[0.500, 0.500, 0.500], [0.886, 0.886, 0.343], [0.114, 0.114, 0.657], [0.000, 0.000, 0.000]], "volume_a3_per_atom": 58.13}

*iii*
{"formula": "Rb2BaCl", "functional": "PBE", "state": "relaxed", "cell": [[10.217, 0.000, 0.000], [0.000, 10.217, 0.000], [5.109, 5.109, 5.506]], "species": ["Cl", "Cl", "Rb", "Rb", "Rb", "Rb", "Ba", "Ba"], "fractional_positions": [[0.250, 0.750, 0.500], [0.500, 0.500, 0.000], [0.492, 0.125, 0.250], [0.258, 0.625, 0.250], [0.875, 0.742, 0.750], [0.375, 0.508, 0.750], [0.000, 0.000, 0.000], [0.750, 0.250, 0.500]], "volume_a3_per_atom": 71.85}

Most stable = *ii*

*i*
{"formula": "Rb2BaCl2", "functional": "PBE", "state": "relaxed", "cell": [[8.910, 0.000, 0.000], [0.000, 8.910, 0.000], [0.000, 0.000, 6.642]], "species": ["Ba", "Ba", "Rb", "Rb", "Rb", "Rb", "Cl", "Cl", "Cl", "Cl"], "fractional_positions": [[0.000, 0.000, 0.000], [0.500, 0.500, 0.000], [0.816, 0.316, 0.500], [0.184, 0.684, 0.500], [0.316, 0.184, 0.500], [0.684, 0.816, 0.500], [0.259, 0.241, 0.000], [0.759, 0.259, 0.000], [0.741, 0.759, 0.000], [0.241, 0.741, 0.000]], "volume_a3_per_atom": 52.73}

*ii*
{"formula": "Rb2BaCl2", "functional": "PBE", "state": "relaxed", "cell": [[-4.840, -2.572, 2.097], [-1.938, -0.819, -5.478], [0.047, -8.342, -1.912]], "species": ["Cl", "Cl", "Rb", "Rb", "Ba"], "fractional_positions": [[0.750, 0.250, 0.500], [0.250, 0.750, 0.500], [0.334, 0.334, 0.333], [0.666, 0.666, 0.667], [0.000, 0.000, 0.000]], "volume_a3_per_atom": 51.54}

Most stable = *i*

*i*
{"formula": "RbBaSCl2", "functional": "PBE", "state": "relaxed", "cell": [[6.038, 0.000, 0.000], [0.000, 6.038, 0.000], [0.000, 0.000, 6.124]], "species": ["Cl", "Cl", "Ba", "S", "Rb"], "fractional_positions": [[0.500, 0.000, 0.000], [0.000, 0.500, 0.000], [0.000, 0.000, 0.000], [0.000, 0.000, 0.500], [0.500, 0.500, 0.500]], "volume_a3_per_atom": 44.65}

*ii*
{"formula": "RbBaSCl2", "functional": "PBE", "state": "relaxed", "cell": [[-4.871, -3.093, -0.046], [2.306, -3.688, 3.791], [-1.943, 2.999, 4.099]], "species": ["Ba", "Cl", "Cl", "S", "Rb"], "fractional_positions": [[0.500, 0.500, 0.500], [0.000, 0.500, 0.000], [0.500, 0.000, 0.000], [0.000, 0.000, 0.500], [0.000, 0.000, 0.000]], "volume_a3_per_atom": 36.20}

Most stable = *i*